The following is a DFT calculation (PBE+U) of NaCaCrO2 after structural relaxation.

Computed properties:
Theoretical density = 2.84 Mg/m³
Uncorrected energy = -4.5185 eV per atom

Structure (POSCAR):
```
NaCaCrO2
1.0
4.135 0.000 0.000
0.000 4.135 0.000
0.000 0.000 5.036
Na Ca Cr O
1 1 1 2
Direct
0.000 0.000 0.000 Na
0.500 0.500 0.000 Ca
0.500 0.500 0.500 Cr
0.000 0.500 0.500 O
0.500 0.000 0.500 O
```